(1)
Compound: NaTiInAu2
Source: the Alexandria database
Functional: GGA-PBE
Structure: relaxed

The structure belongs to space group P4/mmm (No. 123); the cell edges are 5.229, 5.229 and 5.330 Å and the angles 90.00°, 90.00° and 90.00°. The asymmetric unit holds Na at (0.000, 0.000, 0.000), Ti at (0.500, 0.500, 0.000), In at (0.500, 0.500, 0.500) and Au at (0.000, 0.500, 0.500).

The value obtained for the density is 6.6 g/cm³. As for the formation energy: 52 kJ/mol of atoms.

***

(2)
Compound: Na2TlInAu
Source: the Alexandria database
Functional: GGA-PBE
Structure: relaxed

The structure belongs to space group P4/mmm (No. 123); the cell edges are 5.563, 5.563 and 5.220 Å and the angles 90.00°, 90.00° and 90.00°. The asymmetric unit holds Na at (0.000, 0.500, 0.000), Tl at (0.000, 0.000, 0.500), In at (0.500, 0.500, 0.500) and Au at (0.500, 0.500, 0.000).

The value obtained for the density is 5.8 g/cm³. As for the formation energy: -6 kJ/mol of atoms.